{"formula": "LaCrPO2", "functional": "GGA+U", "state": "optimized geometry", "m_tot_mub_per_atom": 0.519, "vol_a3_per_atom": 23.14, "final_energy_ev_per_atom": -6.29, "dos_ef_per_ev_atom": 0.357, "polymorph_energy_mev_per_atom": 692, "cell": [[4.211, 0.000, 0.000], [0.000, 4.211, 0.000], [0.000, 0.000, 6.527]], "species": ["La", "Cr", "P", "O", "O"], "frac_coords": [[0.000, 0.000, 0.000], [0.500, 0.500, 0.500], [0.000, 0.000, 0.500], [0.000, 0.500, 0.000], [0.500, 0.000, 0.000]]}